{"formula": "Tb5Pr4Y6", "functional": "GGA-PBE", "state": "relaxed", "total_energy_ev_per_atom": -5.383, "spacegroup": "Cmc2_1, No. 36", "density_g_cm3": 6.31, "cell": [[-1.195, -0.831, -4.885], [9.182, -9.019, 1.949], [-10.736, -9.994, 4.326]], "species": ["Tb", "Tb", "Tb", "Tb", "Tb", "Tb", "Tb", "Tb", "Tb", "Tb", "Pr", "Pr", "Pr", "Pr", "Pr", "Pr", "Pr", "Pr", "Y", "Y", "Y", "Y", "Y", "Y", "Y", "Y", "Y", "Y", "Y", "Y"], "frac_coords": [[0.449, 0.899, 0.764], [0.551, 0.101, 0.264], [0.151, 0.301, 0.597], [0.849, 0.699, 0.097], [0.750, 0.499, 0.597], [0.250, 0.501, 0.097], [0.349, 0.699, 0.597], [0.651, 0.301, 0.097], [0.349, 0.698, 0.262], [0.651, 0.302, 0.762], [0.950, 0.899, 0.262], [0.050, 0.101, 0.762], [0.150, 0.300, 0.262], [0.850, 0.700, 0.762], [0.850, 0.699, 0.431], [0.150, 0.301, 0.931], [0.050, 0.101, 0.431], [0.950, 0.899, 0.931], [0.751, 0.502, 0.263], [0.449, 0.899, 0.430], [0.750, 0.501, 0.931], [0.250, 0.499, 0.431], [0.349, 0.698, 0.931], [0.651, 0.302, 0.431], [0.450, 0.899, 0.097], [0.550, 0.101, 0.597], [0.051, 0.101, 0.097], [0.949, 0.899, 0.597], [0.551, 0.101, 0.930], [0.249, 0.498, 0.763]]}


{"formula": "Tb8PrY6", "functional": "GGA-PBE", "state": "relaxed", "total_energy_ev_per_atom": -5.249, "spacegroup": "R-3, No. 148", "density_g_cm3": 6.56, "cell": [[9.083, 0.000, 0.000], [4.542, 7.866, 0.000], [4.542, 2.622, 6.897]], "species": ["Tb", "Tb", "Tb", "Tb", "Tb", "Tb", "Tb", "Tb", "Pr", "Y", "Y", "Y", "Y", "Y", "Y"], "frac_coords": [[0.254, 0.281, 0.576], [0.719, 0.111, 0.424], [0.111, 0.746, 0.424], [0.576, 0.576, 0.271], [0.424, 0.424, 0.729], [0.889, 0.254, 0.576], [0.281, 0.889, 0.576], [0.746, 0.719, 0.424], [0.000, 0.000, 0.000], [0.463, 0.896, 0.879], [0.104, 0.238, 0.121], [0.238, 0.537, 0.121], [0.762, 0.463, 0.879], [0.896, 0.762, 0.879], [0.537, 0.104, 0.121]]}


{"formula": "TbPrY2", "functional": "GGA-PBE", "state": "relaxed", "total_energy_ev_per_atom": -5.566, "spacegroup": "R3m, No. 160", "de_polymorph_ev_per_atom": 0.002, "density_g_cm3": 5.97, "cell": [[3.621, 0.000, 0.000], [1.810, 3.136, 0.000], [1.810, 1.045, 11.691]], "species": ["Tb", "Pr", "Y", "Y"], "frac_coords": [[0.666, 0.666, 0.001], [0.500, 0.500, 0.499], [0.082, 0.082, 0.755], [0.252, 0.252, 0.245]]}


{"formula": "Tb3Pr8Y", "functional": "GGA-PBE", "state": "relaxed", "total_energy_ev_per_atom": -4.312, "spacegroup": "I-42m, No. 121", "density_g_cm3": 6.11, "cell": [[-2.039, -5.587, -6.187], [-0.775, -2.573, 8.150], [-5.093, 6.820, 1.092]], "species": ["Tb", "Tb", "Tb", "Pr", "Pr", "Pr", "Pr", "Pr", "Pr", "Pr", "Pr", "Y"], "frac_coords": [[0.500, 0.750, 0.250], [0.500, 0.250, 0.750], [0.000, 0.500, 0.500], [0.501, 0.252, 0.252], [0.499, 0.750, 0.750], [0.000, 0.748, 0.250], [0.000, 0.250, 0.748], [0.250, 0.376, 0.376], [0.750, 0.126, 0.126], [0.000, 0.624, 0.874], [0.000, 0.874, 0.624], [0.000, 0.000, 0.000]]}


For each record above, in turn, the calculated size of the total moment values are 0.00 0.00 0.00 0.00 μB per formula unit.